# 1
## MgFe2Cl (PBE)

Data for MgFe2Cl after structural relaxation.

a = 4.418 Å, b = 4.418 Å, c = 4.418 Å
α = 60.00°, β = 60.00°, γ = 60.00°
Last column: magnetic moment on the atom in μB.
Element x y z (fractional)
Cl 0.500 0.500 0.500  0.04
Fe 0.000 0.000 0.000  2.54
Fe 0.250 0.250 0.250  2.44
Mg 0.750 0.750 0.750  -0.05

Summary:
The energy relative to the lowest polymorph listed for this composition is 59.88 kJ per mole of atoms. The space-group type is F-43m (216).



# 2
## KNa2PdPb (PBE)

Data for KNa2PdPb after structural relaxation.

a = 5.621 Å, b = 5.621 Å, c = 5.282 Å
α = 90.00°, β = 90.00°, γ = 90.00°
Element x y z (fractional)
Pb 0.000 0.000 0.500
Na 0.000 0.500 0.000
Na 0.500 0.000 0.000
K 0.500 0.500 0.500
Pd 0.000 0.000 0.000

Summary:
The energy of formation comes out at -0.69 eV per formula unit. The energy relative to the lowest polymorph listed for this composition is 0.00 kJ per mole of atoms. The space-group type is P4/mmm (123).



# 3
## SrGaTc2 (PBE)

Data for SrGaTc2 after structural relaxation.

a = 4.629 Å, b = 4.629 Å, c = 9.768 Å
α = 76.30°, β = 76.30°, γ = 90.00°
Last column: magnetic moment on the atom in μB.
Element x y z (fractional)
Sr 0.000 0.000 0.000  0.00
Sr 0.750 0.250 0.500  0.00
Tc 0.329 0.125 0.250  0.20
Tc 0.421 0.625 0.250  0.20
Tc 0.375 0.671 0.750  0.20
Tc 0.875 0.579 0.750  0.20
Ga 0.500 0.500 0.000  -0.01
Ga 0.250 0.750 0.500  -0.01

Summary:
The energy of formation comes out at 2.16 eV per formula unit. The space-group type is I-42d (122).



# 4
## NdGdErTh (PBE)

Data for NdGdErTh after structural relaxation.

a = 5.701 Å, b = 5.701 Å, c = 5.701 Å
α = 60.00°, β = 60.00°, γ = 60.00°
Last column: magnetic moment on the atom in μB.
Element x y z (fractional)
Gd 0.500 0.500 0.500  7.24
Nd 0.250 0.250 0.250  0.04
Th 0.750 0.750 0.750  0.10
Er 0.000 0.000 0.000  -0.02

Summary:
The energy of formation comes out at 0.57 eV per formula unit. The space-group type is F-43m (216).



# 5
## TmZrCoCu (PBE)

Data for TmZrCoCu after structural relaxation.

a = 4.648 Å, b = 4.648 Å, c = 4.648 Å
α = 60.00°, β = 60.00°, γ = 60.00°
Element x y z (fractional)
Tm 0.250 0.250 0.250
Co 0.000 0.000 0.000
Cu 0.500 0.500 0.500
Zr 0.750 0.750 0.750

Summary:
The energy of formation comes out at -0.81 eV per formula unit. The space-group type is F-43m (216).



# 6
## Ba4SnPb (PBE)

Data for Ba4SnPb after structural relaxation.

a = 8.495 Å, b = 8.495 Å, c = 10.404 Å
α = 114.11°, β = 114.11°, γ = 89.98°
Element x y z (fractional)
Ba 0.999 0.252 0.999
Ba 0.500 0.748 0.999
Ba 0.252 0.500 0.499
Ba 0.748 0.500 0.501
Ba 0.252 0.001 0.501
Ba 0.500 0.252 0.001
Ba 0.748 0.999 0.499
Ba 0.001 0.748 0.001
Sn 0.375 0.625 0.250
Sn 0.625 0.375 0.750
Pb 0.125 0.875 0.750
Pb 0.875 0.125 0.250

Summary:
The energy of formation comes out at -3.07 eV per formula unit. The space-group type is I4_1/a (88).



# 7
## TlFe2HgBr8 (PBE)

Data for TlFe2HgBr8 after structural relaxation.

a = 6.920 Å, b = 6.920 Å, c = 9.800 Å
α = 85.67°, β = 85.67°, γ = 70.52°
Last column: magnetic moment on the atom in μB.
Element x y z (fractional)
Tl 0.000 0.000 0.500  0.02
Fe 0.622 0.622 0.230  3.55
Fe 0.378 0.378 0.770  3.55
Hg 0.000 0.000 0.000  -0.08
Br 0.744 0.263 0.775  0.14
Br 0.750 0.750 0.023  0.13
Br 0.713 0.713 0.435  0.18
Br 0.287 0.287 0.565  0.18
Br 0.250 0.250 0.977  0.13
Br 0.263 0.744 0.775  0.14
Br 0.737 0.256 0.225  0.14
Br 0.256 0.737 0.225  0.14

Summary:
The space-group type is C2/m (12). The calculation puts the total energy at -39.23 eV per cell.



# 8
## PaMnSi2 (PBE)

Data for PaMnSi2 after structural relaxation.

a = 3.061 Å, b = 3.061 Å, c = 8.422 Å
α = 79.53°, β = 79.53°, γ = 60.00°
Last column: magnetic moment on the atom in μB.
Element x y z (fractional)
Si 0.734 0.734 0.798  -0.05
Si 0.266 0.266 0.202  -0.05
Pa 0.500 0.500 0.500  0.16
Mn 0.000 0.000 0.000  1.90

Summary:
The space-group type is R-3m (166). The calculation puts the total energy at -29.70 eV per cell.



# 9
## PaZn2 (PBE)

Data for PaZn2 after structural relaxation.

a = 5.645 Å, b = 5.645 Å, c = 8.214 Å
α = 90.00°, β = 90.00°, γ = 120.00°
Element x y z (fractional)
Pa 0.333 0.667 0.086
Pa 0.667 0.333 0.586
Pa 0.667 0.333 0.914
Pa 0.333 0.667 0.414
Zn 0.000 0.000 0.000
Zn 0.000 0.000 0.500
Zn 0.829 0.657 0.250
Zn 0.171 0.343 0.750
Zn 0.343 0.171 0.250
Zn 0.829 0.171 0.250
Zn 0.171 0.829 0.750
Zn 0.657 0.829 0.750

Summary:
The energy of formation comes out at -0.28 eV per formula unit. The space-group type is P6_3/mmc (194).



# 10
## Zn2ReSi (PBE)

Data for Zn2ReSi after structural relaxation.

a = 8.366 Å, b = 8.366 Å, c = 8.366 Å
α = 19.89°, β = 19.89°, γ = 19.89°
Element x y z (fractional)
Re 0.495 0.495 0.495
Si 0.754 0.754 0.754
Zn 0.002 0.002 0.002
Zn 0.249 0.249 0.249

Summary:
The space-group type is R3m (160). The calculation puts the total energy at -19.92 eV per cell.



# 11
## BeCdW2 (PBE)

Data for BeCdW2 after structural relaxation.

a = 3.209 Å, b = 3.206 Å, c = 6.280 Å
α = 90.00°, β = 90.00°, γ = 90.00°
Element x y z (fractional)
Be 0.000 0.000 0.462
W 0.000 0.000 0.053
W 0.500 0.500 0.260
Cd 0.500 0.500 0.725

Summary:
The energy of formation comes out at 1.77 eV per formula unit. The energy relative to the lowest polymorph listed for this composition is 8.76 kJ per mole of atoms. The space-group type is P4mm (99).



# 12
## La6Dy5Th2 (PBE)

Data for La6Dy5Th2 after structural relaxation.

a = 3.645 Å, b = 11.665 Å, c = 21.188 Å
α = 90.00°, β = 90.00°, γ = 90.00°
Element x y z (fractional)
La 0.000 0.074 0.356
La 0.000 0.926 0.644
La 0.000 0.574 0.144
La 0.000 0.426 0.856
La 0.500 0.321 0.125
La 0.500 0.679 0.875
La 0.500 0.821 0.375
La 0.500 0.179 0.625
La 0.000 0.591 0.441
La 0.000 0.409 0.559
La 0.000 0.091 0.059
La 0.000 0.909 0.941
Dy 0.500 0.324 0.411
Dy 0.500 0.676 0.589
Dy 0.500 0.824 0.089
Dy 0.500 0.176 0.911
Dy 0.500 0.566 0.292
Dy 0.500 0.434 0.708
Dy 0.500 0.066 0.208
Dy 0.500 0.934 0.792
Dy 0.500 0.500 0.000
Dy 0.500 0.000 0.500
Th 0.000 0.313 0.265
Th 0.000 0.687 0.735
Th 0.000 0.813 0.235
Th 0.000 0.187 0.765

Summary:
The energy of formation comes out at 1.65 eV per formula unit. The space-group type is Pbam (55).



no.,DOS at the Fermi energy (states/eV per cell)
1,2.744
2,2.574
3,8.675
4,7.879
5,2.546
6,4.172
7,3.095
8,2.533
9,13.004
10,1.832
11,3.892
12,37.957